# LaBeTe2 PBE relaxed
# Formation energy (no corrections)   -398 meV per atom
# SG   I-4m2
data_LaBeTe2
_symmetry_space_group_name_H-M 'P 1'
_symmetry_Int_Tables_number 1
_symmetry_space_group_name_Hall 'P 1'
_cell_length_a 6.368
_cell_length_b 6.368
_cell_length_c 6.368
_cell_angle_alpha 139.67
_cell_angle_beta 139.67
_cell_angle_gamma 58.35
loop_
_atom_site_label
_atom_site_fract_x
_atom_site_fract_y
_atom_site_fract_z
Te1 0.000 0.000 0.000
Te2 0.250 0.750 0.500
La1 0.750 0.250 0.500
Be1 0.500 0.500 0.000